# 1
Computed, not measured: La12SmCo6 after structural relaxation at the GGA-PBE level of DFT.

Structure (extended XYZ):
```
19
Lattice="-5.009 5.029 5.287 -2.220 -8.504 1.047 8.529 1.102 2.093" Properties=species:S:1:pos:R:3 pbc="T T T"
Co 2.499 2.199 4.058
Co -1.199 -4.571 4.370
La -1.045 -2.539 2.608
Sm 0.000 0.000 0.000
La 2.674 -1.134 2.429
La 5.009 -3.874 3.592
La -3.721 -3.825 4.953
La -1.374 -1.238 5.998
La -0.302 1.253 3.560
Co -3.202 -1.019 4.032
La 5.021 1.453 3.475
Co -1.008 1.736 6.115
Co 2.308 -4.108 2.312
La -3.709 1.502 4.836
La 0.299 -5.895 2.135
La 2.345 0.166 5.820
Co 4.502 -1.353 4.396
La 1.001 3.523 6.292
La 1.602 -3.625 4.867
```

Computed properties:
* magnetization: 0.00 μB per atom
* DFT formation energy: -0.089 eV/atom

# 2
Computed, not measured: La3Sm3Co4 after structural relaxation at the GGA-PBE level of DFT.

Structure (extended XYZ):
```
10
Lattice="-1.394 -1.362 -3.814 6.526 -3.461 -1.150 -2.710 -6.189 3.201" Properties=species:S:1:pos:R:3 pbc="T T T"
Co 0.460 -1.016 0.194
La 4.252 -4.608 -2.314
La 1.875 -7.180 -0.526
Co 0.857 -5.136 1.520
Co 2.853 -4.546 0.580
Sm -1.797 -6.394 0.535
La 0.550 -3.831 -1.238
Sm 0.522 -7.887 2.625
Sm -1.357 -3.137 1.616
Co 3.461 -8.603 1.806
```

Computed properties:
* magnetization: 0.00 μB per atom
* DFT formation energy: -0.029 eV/atom

# 3
Computed, not measured: La6SmCo3 after structural relaxation at the GGA-PBE level of DFT.

Structure (extended XYZ):
```
20
Lattice="-1.272 6.628 -2.686 -7.332 0.599 4.951 6.041 3.400 5.529" Properties=species:S:1:pos:R:3 pbc="T T T"
Sm 2.759 4.456 4.722
La -4.664 8.847 5.481
Co -1.989 2.295 1.327
Co -2.986 7.634 2.802
La -0.341 3.250 6.825
La -3.954 6.645 -0.288
Sm -5.329 6.209 3.057
La -7.063 1.222 4.746
La -3.168 2.827 4.614
La 0.089 1.919 3.336
La -1.762 4.979 1.941
La 1.606 4.362 1.267
Co 0.150 6.191 0.104
La -2.191 6.310 5.429
Co -2.761 4.685 7.589
La 0.895 6.564 7.036
La 4.928 7.181 3.949
Co 0.071 4.827 4.249
La 0.740 7.093 3.467
Co -0.621 8.581 6.366
```

Computed properties:
* magnetization: 0.00 μB per atom
* DFT formation energy: -0.077 eV/atom

Q: Which of these has the lowest DFT formation energy?
A: La12SmCo6

Q: Which of these has the highest DFT formation energy?
A: La3Sm3Co4